No. 1
A relaxed Cs2MnVSb crystal. Source: the Alexandria database, functional PBE-GGA.

```
Cs2MnVSb
1.0
7.091 0.000 0.000
0.000 3.973 0.000
0.000 0.000 7.091
Cs Sb Mn V
2 1 1 1
Cartesian
0.000 0.000 3.545
3.545 0.000 0.000
3.545 1.986 3.545
0.000 0.000 0.000
0.000 1.986 0.000
```

## Properties
Total moment (μB per cell): 0.14
Raw total energy (eV per atom): -3.677
Formation energy (no corrections) (eV/f.u.): 5.73

No. 2
A relaxed CsScMn3 crystal. Source: the Alexandria database, functional PBE-GGA.

```
CsScMn3
1.0
-0.783 5.197 1.103
-4.543 -1.233 2.585
2.755 -0.557 4.576
Sc Mn Cs
1 3 1
Cartesian
0.000 0.000 0.000
1.377 -0.278 2.288
-0.391 2.599 0.552
-2.272 -0.617 1.292
-1.286 1.704 4.132
```

## Properties
Total moment (μB per cell): 11.18
Raw total energy (eV per atom): -5.671

No. 3
A relaxed CsScMn3 crystal. Source: the Alexandria database, functional PBE-GGA.

```
CsScMn3
1.0
-4.042 2.746 1.297
-1.351 0.308 -4.862
-2.720 -4.234 0.488
Cs Mn Sc
1 3 1
Cartesian
0.000 0.000 0.000
-2.021 1.373 0.649
-0.676 0.154 -2.431
-1.360 -2.117 0.244
-4.057 -0.590 -1.538
```

## Properties
Total moment (μB per cell): 10.45
Raw total energy (eV per atom): -4.839

No. 4
A relaxed CsScMn2 crystal. Source: the Alexandria database, functional PBE-GGA.

```
CsScMn2
1.0
0.000 3.737 3.737
3.737 0.000 3.737
3.737 3.737 0.000
Sc Cs Mn
1 1 2
Cartesian
0.000 0.000 0.000
3.737 3.737 3.737
1.869 1.869 1.869
5.606 5.606 5.606
```

## Properties
Total moment (μB per cell): 6.59
Raw total energy (eV per atom): -5.182

No. 5
A relaxed Cs3Sc3MnSe8 crystal. Source: the Alexandria database, functional PBE-GGA.

```
Cs3Sc3MnSe8
1.0
7.881 -0.002 0.000
-3.942 6.826 -0.026
0.001 -4.520 8.489
Cs Se Sc Mn
3 8 3 1
Cartesian
1.969 3.412 -0.013
-1.971 3.413 -0.013
0.000 0.000 0.000
1.863 -1.191 2.811
6.017 -1.193 2.811
3.941 0.022 5.740
3.939 2.406 2.796
2.076 3.495 5.652
-0.002 2.282 2.722
0.001 -0.102 5.666
-2.078 3.497 5.651
-1.971 1.153 4.231
1.970 1.152 4.231
3.941 -2.261 4.244
0.000 -2.260 4.244
```

## Properties
Total moment (μB per cell): 3.01
Raw total energy (eV per atom): -5.237
Formation energy (no corrections) (eV/f.u.): -19.96

No. 6
A relaxed Cs3Sc2MnSe6 crystal. Source: the Alexandria database, functional PBE-GGA.

```
Cs3Sc2MnSe6
1.0
-4.015 4.180 -3.833
-1.478 -6.790 0.023
-3.059 2.029 7.786
Se Mn Cs Sc
6 1 3 2
Cartesian
-2.078 1.526 -0.118
-7.278 1.374 2.871
-4.027 0.920 5.268
-6.474 -2.106 4.094
-4.524 -1.500 -1.292
-1.273 -1.954 1.105
0.000 0.000 0.000
-3.442 -3.895 3.255
-5.110 3.316 0.721
-4.276 -0.290 1.988
-2.335 -3.084 -1.279
-3.158 0.475 -2.530
```

## Properties
Total moment (μB per cell): 4.00
Raw total energy (eV per atom): -5.023
Formation energy (no corrections) (eV/f.u.): -14.98

No. 7
A relaxed CsSr2ScMn crystal. Source: the Alexandria database, functional PBE-GGA.

```
CsSr2ScMn
1.0
-0.560 5.731 2.387
-5.145 -0.614 0.266
0.577 -2.339 5.750
Sr Cs Mn Sc
2 1 1 1
Cartesian
-0.280 2.866 1.194
0.288 -1.169 2.875
0.000 0.000 0.000
-2.573 -0.307 0.133
-2.564 1.390 4.202
```

## Properties
Total moment (μB per cell): 2.52
Raw total energy (eV per atom): -2.564

No. 8
A relaxed CsScMnTe3 crystal. Source: the Alexandria database, functional PBE-GGA.

```
CsScMnTe3
1.0
4.957 0.000 0.000
-2.478 8.234 0.308
0.000 -2.047 9.531
Sc Mn Te Cs
2 2 6 2
Cartesian
2.478 1.205 5.260
0.000 4.982 4.580
2.478 6.936 6.025
0.000 -0.749 3.814
0.000 6.807 6.893
2.478 -0.620 2.946
0.000 0.978 7.076
0.000 1.955 3.570
2.478 5.208 2.763
2.478 4.232 6.269
0.000 3.943 9.308
2.478 2.244 0.531
```

## Properties
Total moment (μB per cell): 1.99
Raw total energy (eV per atom): -4.980
Formation energy (no corrections) (eV/f.u.): -4.10